(1)
Computed, not measured: a relaxed structure of BaZnInIr at the GGA-PBE level of DFT.

Cell: 6.6304 6.6304 6.6304 Å, 39.67 39.67 39.67°
With the nearest neighbours (Å) after each atom.
Fractional positions:
Ba1 0.0000 0.0000 0.0000  3 Zn 3.45, 4 In 3.54-3.65, 4 Ir 3.57-3.65
Zn1 0.4578 0.4578 0.4578  3 Ir 2.60, 3 In 2.89
In1 0.1932 0.1932 0.1932  3 Ir 2.81, 3 Zn 2.89
Ir1 0.8007 0.8007 0.8007  3 Zn 2.60, 3 In 2.81

Total energy ... -0.2914 Ry/atom
ΔH_f (0 K) ... -0.27 eV/atom
Calculated volume ... 26.7 Å³/atom


(2)
Computed, not measured: a relaxed structure of NaInO at the GGA-PBE level of DFT.

Cell: 6.5625 6.5625 5.1634 Å, 90.00 90.00 150.95°
With the nearest neighbours (Å) after each atom.
Fractional positions:
Na1 0.1961 0.8039 0.7500  4 O 2.37-2.60
Na2 0.8039 0.1961 0.2500  4 O 2.37-2.60
In1 0.4458 0.5542 0.7500  2 O 2.20
In2 0.5542 0.4458 0.2500  2 O 2.20
O1 0.1692 0.8308 0.2500  2 In 2.20, 2 Na 2.37
O2 0.8308 0.1692 0.7500  2 In 2.20, 2 Na 2.37

Total energy ... -0.3025 Ry/atom
Calculated volume ... 18.0 Å³/atom


Repeat the second record exactly.
Computed, not measured: a relaxed structure of NaInO at the GGA-PBE level of DFT.

Cell: 6.5625 6.5625 5.1634 Å, 90.00 90.00 150.95°
With the nearest neighbours (Å) after each atom.
Fractional positions:
Na1 0.1961 0.8039 0.7500  4 O 2.37-2.60
Na2 0.8039 0.1961 0.2500  4 O 2.37-2.60
In1 0.4458 0.5542 0.7500  2 O 2.20
In2 0.5542 0.4458 0.2500  2 O 2.20
O1 0.1692 0.8308 0.2500  2 In 2.20, 2 Na 2.37
O2 0.8308 0.1692 0.7500  2 In 2.20, 2 Na 2.37

Total energy ... -0.3025 Ry/atom
Calculated volume ... 18.0 Å³/atom